A:
Be2InP | GGA-PBE | relaxed

a = 3.470 Å, b = 5.400 Å, c = 6.941 Å
α = 90.00°, β = 90.00°, γ = 90.00°
Space group Cmmm (No. 65)
Inequivalent atoms, fractional coordinates:
Be 0.000 0.000 0.178 (multiplicity 4)
In 0.000 0.500 0.500 (multiplicity 2)
P 0.000 0.500 0.000 (multiplicity 2)

Output
total magnetization	0.000	μB per cell
DOS(E_F)	3.43	states/eV/cell
V	16.26	A^3/atom

B:
Be2InP | GGA-PBE | relaxed

a = 2.769 Å, b = 3.386 Å, c = 6.718 Å
α = 90.00°, β = 91.84°, γ = 90.00°
Space group P2/m (No. 10)
Inequivalent atoms, fractional coordinates:
Be 0.013 0.000 0.304 (multiplicity 2)
In 0.500 0.500 0.000 (multiplicity 1)
P 0.000 0.500 0.500 (multiplicity 1)

Output
total magnetization	0.000	μB per cell
DOS(E_F)	1.73	states/eV/cell
V	15.74	A^3/atom

The least stable of them is A.

A:
NiTeCl2 | GGA-PBE | relaxed

a = 3.103 Å, b = 6.403 Å, c = 10.762 Å
α = 90.00°, β = 90.00°, γ = 90.00°
Space group Cmmm (No. 65)
Inequivalent atoms, fractional coordinates:
Ni 0.000 0.000 0.000 (multiplicity 2)
Te 0.000 0.000 0.500 (multiplicity 2)
Cl 0.000 0.500 0.141 (multiplicity 4)

Output
total magnetization	0.000	μB per cell
DOS(E_F)	7.89	states/eV/cell
V	26.73	A^3/atom

B:
NiTeCl2 | GGA-PBE | relaxed

a = 5.368 Å, b = 3.500 Å, c = 5.457 Å
α = 90.00°, β = 113.34°, γ = 90.00°
Space group Pm (No. 6)
Inequivalent atoms, fractional coordinates:
Ni 0.000 0.000 0.000 (multiplicity 1)
Te 0.121 0.500 0.752 (multiplicity 1)
Cl 0.340 0.000 0.402 (multiplicity 1)
Cl 0.751 0.500 0.094 (multiplicity 1)

Output
total magnetization	0.000	μB per cell
DOS(E_F)	2.23	states/eV/cell
V	23.54	A^3/atom

The least stable of them is A.

A:
TlRe2Au | GGA-PBE | relaxed

a = 3.973 Å, b = 3.973 Å, c = 8.802 Å
α = 90.00°, β = 90.00°, γ = 90.00°
Space group I4/mmm (No. 139)
Inequivalent atoms, fractional coordinates:
Tl 0.000 0.000 0.000 (multiplicity 2)
Re 0.000 0.500 0.250 (multiplicity 4)
Au 0.000 0.000 0.500 (multiplicity 2)

Output
total magnetization	0.012	μB per cell
DOS(E_F)	11.46	states/eV/cell
V	17.37	A^3/atom

B:
TlRe2Au | GGA-PBE | relaxed

a = 4.169 Å, b = 4.169 Å, c = 7.910 Å
α = 90.00°, β = 90.00°, γ = 90.00°
Space group I-4m2 (No. 119)
Inequivalent atoms, fractional coordinates:
Tl 0.000 0.000 0.000 (multiplicity 2)
Re 0.000 0.000 0.500 (multiplicity 2)
Re 0.000 0.500 0.250 (multiplicity 2)
Au 0.000 0.500 0.750 (multiplicity 2)

Output
total magnetization	0.001	μB per cell
DOS(E_F)	7.51	states/eV/cell
V	17.18	A^3/atom

The least stable of them is A.

A:
PmTmRh | GGA-PBE | relaxed

a = 5.773 Å, b = 4.494 Å, c = 6.475 Å
α = 90.00°, β = 106.70°, γ = 90.00°
Space group P2_1/m (No. 11)
Inequivalent atoms, fractional coordinates:
Pm 0.071 0.250 0.283 (multiplicity 2)
Tm 0.476 0.250 0.799 (multiplicity 2)
Rh 0.343 0.750 0.556 (multiplicity 2)

Output
total magnetization	0.000	μB per cell
DOS(E_F)	5.95	states/eV/cell
V	26.82	A^3/atom

B:
PmTmRh | GGA-PBE | relaxed

a = 6.845 Å, b = 6.845 Å, c = 6.845 Å
α = 90.00°, β = 90.00°, γ = 90.00°
Space group F-43m (No. 216)
Inequivalent atoms, fractional coordinates:
Pm 0.000 0.000 0.000 (multiplicity 4)
Tm 0.000 0.000 0.500 (multiplicity 4)
Rh 0.250 0.250 0.750 (multiplicity 4)

Output
total magnetization	0.000	μB per cell
DOS(E_F)	12.75	states/eV/cell
V	26.73	A^3/atom

The least stable of them is B.

A:
LiScCr2 | GGA-PBE | relaxed

a = 4.476 Å, b = 4.476 Å, c = 6.310 Å
α = 90.00°, β = 90.00°, γ = 90.00°
Space group I-4m2 (No. 119)
Inequivalent atoms, fractional coordinates:
Li 0.000 0.000 0.000 (multiplicity 2)
Sc 0.000 0.500 0.250 (multiplicity 2)
Cr 0.000 0.000 0.500 (multiplicity 2)
Cr 0.000 0.500 0.750 (multiplicity 2)

Output
total magnetization	0.677	μB per cell
DOS(E_F)	7.57	states/eV/cell
V	15.80	A^3/atom

B:
LiScCr2 | GGA-PBE | relaxed

a = 3.002 Å, b = 4.644 Å, c = 9.029 Å
α = 90.00°, β = 90.00°, γ = 90.00°
Space group Cmm2 (No. 35)
Inequivalent atoms, fractional coordinates:
Li 0.000 0.000 0.000 (multiplicity 2)
Sc 0.000 0.500 0.310 (multiplicity 2)
Cr 0.000 0.000 0.566 (multiplicity 2)
Cr 0.000 0.500 0.745 (multiplicity 2)

Output
total magnetization	0.000	μB per cell
DOS(E_F)	8.85	states/eV/cell
V	15.74	A^3/atom

The least stable of them is B.

A:
TaCuRh | GGA-PBE | relaxed

a = 4.3309 Å, b = 4.3309 Å, c = 2.7533 Å
α = 90.00°, β = 90.00°, γ = 120.00°
Space group P3m1 (No. 156)
Inequivalent atoms, fractional coordinates:
Ta 0.0000 0.0000 0.0000 (multiplicity 1)
Cu 0.6667 0.3333 0.3912 (multiplicity 1)
Rh 0.3333 0.6667 0.6743 (multiplicity 1)

Output
total magnetization	0.000	μB per cell
DOS(E_F)	2.23	states/eV/cell
V	14.91	A^3/atom

B:
TaCuRh | GGA-PBE | relaxed

a = 5.975 Å, b = 5.975 Å, c = 5.975 Å
α = 90.00°, β = 90.00°, γ = 90.00°
Space group F-43m (No. 216)
Inequivalent atoms, fractional coordinates:
Ta 0.000 0.000 0.000 (multiplicity 4)
Cu 0.250 0.250 0.250 (multiplicity 4)
Rh 0.250 0.250 0.750 (multiplicity 4)

Output
total magnetization	0.000	μB per cell
DOS(E_F)	12.76	states/eV/cell
V	17.78	A^3/atom

The least stable of them is B.

A:
MnAuCl2 | GGA-PBE | relaxed

a = 4.558 Å, b = 4.558 Å, c = 3.711 Å
α = 90.00°, β = 90.00°, γ = 90.00°
Space group P4/mmm (No. 123)
Inequivalent atoms, fractional coordinates:
Mn 0.000 0.000 0.000 (multiplicity 1)
Au 0.500 0.500 0.000 (multiplicity 1)
Cl 0.000 0.500 0.500 (multiplicity 2)

Output
total magnetization	4.462	μB per cell
DOS(E_F)	1.26	states/eV/cell
V	19.28	A^3/atom

B:
MnAuCl2 | GGA-PBE | relaxed

a = 5.858 Å, b = 3.388 Å, c = 10.321 Å
α = 90.00°, β = 96.90°, γ = 90.00°
Space group C2/m (No. 12)
Inequivalent atoms, fractional coordinates:
Mn 0.000 0.000 0.000 (multiplicity 2)
Au 0.000 0.500 0.500 (multiplicity 2)
Cl 0.198 0.500 0.150 (multiplicity 4)

Output
total magnetization	9.855	μB per cell
DOS(E_F)	1.99	states/eV/cell
V	25.42	A^3/atom

The least stable of them is A.

A:
Sr2CoMo | GGA-PBE | relaxed

a = 6.974 Å, b = 8.116 Å, c = 3.775 Å
α = 90.00°, β = 90.00°, γ = 90.00°
Space group Cmmm (No. 65)
Inequivalent atoms, fractional coordinates:
Sr 0.250 0.250 0.000 (multiplicity 4)
Co 0.000 0.000 0.500 (multiplicity 2)
Mo 0.000 0.500 0.500 (multiplicity 2)

Output
total magnetization	8.935	μB per cell
DOS(E_F)	14.17	states/eV/cell
V	26.71	A^3/atom

B:
Sr2CoMo | GGA-PBE | relaxed

a = 5.173 Å, b = 5.173 Å, c = 7.346 Å
α = 90.00°, β = 90.00°, γ = 90.00°
Space group I-4m2 (No. 119)
Inequivalent atoms, fractional coordinates:
Sr 0.000 0.000 0.000 (multiplicity 2)
Sr 0.000 0.500 0.250 (multiplicity 2)
Co 0.000 0.500 0.750 (multiplicity 2)
Mo 0.000 0.000 0.500 (multiplicity 2)

Output
total magnetization	8.953	μB per cell
DOS(E_F)	9.94	states/eV/cell
V	24.57	A^3/atom

The least stable of them is B.